Record 1
{"formula": "Cr2BiWN", "functional": "PBE", "state": "optimized geometry", "e_form_raw_ev_per_atom": 0.6631, "vol_a3_per_cell": 76, "dos_ef_per_ev_cell": 4.196, "total_energy_ev_per_atom": -8.218, "cell": [[3.9240, 0.0000, 0.0000], [0.0000, 4.9626, 0.0000], [0.0000, 0.0000, 3.9240]], "species": ["Cr", "Cr", "Bi", "W", "N"], "frac_coords": [[0.0000, 0.0000, 0.5000], [0.5000, 0.0000, 0.0000], [0.0000, 0.5000, 0.0000], [0.5000, 0.5000, 0.5000], [0.0000, 0.0000, 0.0000]]}



Record 2
{"formula": "NaCr2Bi", "functional": "PBE", "state": "optimized geometry", "vol_a3_per_cell": 211, "dos_ef_per_ev_cell": 6.854, "total_energy_ev_per_atom": -5.248, "ef_kj_per_mol_fu": 333, "cell": [[-5.4406, 5.5839, -2.7198], [-3.4817, -5.7361, -4.8118], [-6.3928, -0.8361, -1.4621]], "species": ["Cr", "Cr", "Cr", "Cr", "Bi", "Bi", "Na", "Na"], "frac_coords": [[0.6572, 0.1250, 0.2500], [0.0928, 0.6250, 0.2500], [0.3750, 0.3428, 0.7500], [0.8750, 0.9072, 0.7500], [0.0000, 0.0000, 0.0000], [0.7500, 0.2500, 0.5000], [0.5000, 0.5000, 0.0000], [0.2500, 0.7500, 0.5000]]}



Record 3
{"formula": "NaCrBi2", "functional": "PBE", "state": "optimized geometry", "vol_a3_per_cell": 101, "dos_ef_per_ev_cell": 1.744, "relative_energy_mev_per_atom": 0, "total_energy_ev_per_atom": -4.538, "ef_kj_per_mol_fu": 53, "cell": [[0.0000, 3.6979, 3.6979], [3.6979, 0.0000, 3.6979], [3.6979, 3.6979, 0.0000]], "species": ["Cr", "Bi", "Bi", "Na"], "frac_coords": [[0.5000, 0.5000, 0.5000], [0.2500, 0.2500, 0.2500], [0.7500, 0.7500, 0.7500], [0.0000, 0.0000, 0.0000]]}



Record 4
{"formula": "NaCrBi2", "functional": "PBE", "state": "optimized geometry", "vol_a3_per_cell": 250, "dos_ef_per_ev_cell": 4.424, "relative_energy_mev_per_atom": 161, "total_energy_ev_per_atom": -4.377, "ef_kj_per_mol_fu": 116, "cell": [[-1.9765, -4.6225, -0.5904], [4.4908, -1.7181, -1.5823], [3.6517, -5.3668, 8.0949]], "species": ["Cr", "Cr", "Bi", "Bi", "Bi", "Bi", "Na", "Na"], "frac_coords": [[0.0000, 0.0000, 0.0000], [0.7500, 0.2500, 0.5000], [0.6825, 0.1250, 0.2500], [0.0675, 0.6250, 0.2500], [0.3750, 0.3175, 0.7500], [0.8750, 0.9325, 0.7500], [0.5000, 0.5000, 0.0000], [0.2500, 0.7500, 0.5000]]}



What is the formula in the second record?
NaCr2Bi



What is the formula in the second record?
NaCr2Bi